DFT (PBE) results for a relaxed Ca2InAg4 crystal.

Cell: 5.1429 5.1429 15.6207 Å, 90.00 90.00 90.00°
Closest atoms and distances in Å follow each position.
Space group I4/mmm (No. 139)
Inequivalent atoms, fractional coordinates:
Ca 0.0000 0.0000 0.1298 x4  5 Ag 3.00-3.27
In 0.0000 0.0000 0.5000 x2  6 Ag 2.57-2.78
Ag 0.0000 0.0000 0.3220 x4  1 In 2.78, 1 Ca 3.00
Ag 0.0000 0.5000 0.0000 x4  2 In 2.57

## Properties
* energy above the most stable polymorph in this dataset: 89 meV/atom
* ΔH_f (0 K): 99 meV/atom

DFT (PBE) results for a relaxed SrAgTe2 crystal.

Cell: 8.0390 4.6349 7.1960 Å, 90.00 107.26 90.00°
Closest atoms and distances in Å follow each position.
Space group C2/m (No. 12)
Inequivalent atoms, fractional coordinates:
Sr 0.0000 0.0000 0.0000 x2  6 Te 3.28-3.32
Ag 0.0000 0.5000 0.5000 x2  6 Te 2.87-3.18
Te 0.2464 0.5000 0.2824 x4  3 Ag 2.87-3.18

## Properties
* formation energy from raw total energies: -674 meV/atom

DFT (PBE) results for a relaxed RbTl6Pd2 crystal.

Cell: 12.8169 9.1772 4.9586 Å, 90.00 112.37 90.00°
Closest atoms and distances in Å follow each position.
Space group C2/m (No. 12)
Inequivalent atoms, fractional coordinates:
Rb 0.0000 0.0000 0.0000 x2  2 Pd 3.50, 8 Tl 3.74-3.83
Tl 0.0000 0.3186 0.5000 x4  2 Pd 2.94
Tl 0.1891 0.3259 0.1895 x8  3 Pd 2.95-3.25, 3 Tl 3.18-3.20
Pd 0.2045 0.5000 0.7054 x4  8 Tl 2.94-3.25

## Properties
* energy above the most stable polymorph in this dataset: 0 meV/atom
* ΔH_f (0 K): -43 meV/atom

DFT (PBE) results for a relaxed LaFe2PCl crystal.

Cell: 4.1219 4.1219 6.0164 Å, 90.00 90.00 90.00°
Closest atoms and distances in Å follow each position.
Space group P4/mmm (No. 123)
Inequivalent atoms, fractional coordinates:
La 0.0000 0.0000 0.0000 x1  4 Cl 2.91
Fe 0.0000 0.5000 0.5000 x2  2 P 2.06
P 0.5000 0.5000 0.5000 x1  4 Fe 2.06
Cl 0.5000 0.5000 0.0000 x1  4 La 2.91, 2 P 3.01

## Properties
* formation energy from raw total energies: -253 meV/atom

DFT (PBE) results for a relaxed Nb2Ru2Br crystal.

Cell: 3.8876 3.8876 13.9710 Å, 90.00 90.00 90.00°
Closest atoms and distances in Å follow each position.
Space group I4/mmm (No. 139)
Inequivalent atoms, fractional coordinates:
Nb 0.0000 0.0000 0.1332 x4  4 Ru 2.54
Ru 0.0000 0.5000 0.2500 x4  4 Nb 2.54, 4 Ru 2.75
Br 0.0000 0.0000 0.5000 x2  8 Nb 3.32

## Properties
* energy above the most stable polymorph in this dataset: 142 meV/atom
* formation energy from raw total energies: 275 meV/atom

DFT (PBE) results for a relaxed ZrAlCuOs crystal.

Cell: 6.3231 6.3231 6.3231 Å, 90.00 90.00 90.00°
Closest atoms and distances in Å follow each position.
Space group F-43m (No. 216)
Inequivalent atoms, fractional coordinates:
Zr 0.0000 0.0000 0.0000 x4  4 Os 2.74, 4 Cu 2.74
Al 0.0000 0.0000 0.5000 x4  4 Os 2.74, 4 Cu 2.74
Cu 0.2500 0.2500 0.7500 x4  4 Zr 2.74, 4 Al 2.74
Os 0.2500 0.2500 0.2500 x4  4 Zr 2.74, 4 Al 2.74

## Properties
* ΔH_f (0 K): -343 meV/atom

DFT (PBE) results for a relaxed LuThReTc crystal.

Cell: 6.9009 6.9009 6.9009 Å, 90.00 90.00 90.00°
Closest atoms and distances in Å follow each position.
Space group F-43m (No. 216)
Inequivalent atoms, fractional coordinates:
Lu 0.0000 0.0000 0.0000 x4  4 Re 2.99, 4 Tc 2.99
Th 0.0000 0.0000 0.5000 x4  4 Tc 2.99, 4 Re 2.99
Re 0.2500 0.2500 0.2500 x4  4 Th 2.99, 4 Lu 2.99
Tc 0.2500 0.2500 0.7500 x4  4 Th 2.99, 4 Lu 2.99

## Properties
* ΔH_f (0 K): 41 meV/atom

DFT (PBE) results for a relaxed ScTi4Zn5 crystal.

Cell: 3.1919 3.1919 15.8499 Å, 90.00 90.00 90.00°
Closest atoms and distances in Å follow each position.
Space group P4/mmm (No. 123)
Inequivalent atoms, fractional coordinates:
Sc 0.0000 0.0000 0.0000 x1  8 Zn 2.87, 4 Sc 3.19
Ti 0.0000 0.0000 0.2086 x2  8 Zn 2.73
Ti 0.0000 0.0000 0.4028 x2  8 Zn 2.73
Zn 0.5000 0.5000 0.1121 x2  4 Ti 2.73, 4 Sc 2.87
Zn 0.5000 0.5000 0.3059 x2  8 Ti 2.73
Zn 0.5000 0.5000 0.5000 x1  8 Ti 2.73

## Properties
* ΔH_f (0 K): -210 meV/atom

DFT (PBE) results for a relaxed Zn2InFe crystal.

Cell: 2.8266 4.7401 4.8671 Å, 90.00 90.37 90.00°
Closest atoms and distances in Å follow each position.
Space group P2/m (No. 10)
Inequivalent atoms, fractional coordinates:
Zn 0.2495 0.0000 0.2219 x2  4 Zn 2.57-2.83, 2 Fe 2.70, 2 In 2.82
In 0.0000 0.5000 0.5000 x1  4 Fe 2.81-2.82, 4 Zn 2.82, 2 In 2.83
Fe 0.5000 0.5000 0.0000 x1  4 Zn 2.70, 4 In 2.81-2.82, 2 Fe 2.83

## Properties
* ΔH_f (0 K): 217 meV/atom

DFT (PBE) results for a relaxed PaInH crystal.

Cell: 3.1476 3.1476 11.5567 Å, 90.00 90.00 90.00°
Closest atoms and distances in Å follow each position.
Space group I4mm (No. 107)
Inequivalent atoms, fractional coordinates:
Pa 0.0000 0.0000 0.0000 x2  4 H 2.33
In 0.0000 0.0000 0.2818 x2  4 In 3.15, 5 H 3.22-3.39, 5 Pa 3.26-3.36
H 0.0000 0.0000 0.5607 x2  4 Pa 2.33

## Properties
* energy above the most stable polymorph in this dataset: 199 meV/atom

DFT (PBE) results for a relaxed Pr2NdF11 crystal.

Cell: 8.8165 10.6179 11.7694 Å, 90.00 90.00 90.00°
Closest atoms and distances in Å follow each position.
Space group Ibam (No. 72)
Inequivalent atoms, fractional coordinates:
Pr 0.1628 0.1905 0.0000 x8  7 F 2.32-2.48
Nd 0.0000 0.5000 0.2500 x4  8 F 2.37-2.38
F 0.0000 0.0000 0.0000 x4  2 F 2.20
F 0.1026 0.3297 0.1446 x16  1 Pr 2.32, 1 Nd 2.37
F 0.1068 0.1877 0.5000 x8  1 F 2.20, 2 Pr 2.38-2.41
F 0.1999 0.4249 0.3677 x16  1 Pr 2.32, 1 Nd 2.38

## Properties
* formation energy from raw total energies: -3383 meV/atom

DFT (PBE) results for a relaxed Y2CdHg3 crystal.

Cell: 6.9650 9.8634 17.0844 Å, 90.00 90.00 90.00°
Closest atoms and distances in Å follow each position.
Space group Fmmm (No. 69)
Inequivalent atoms, fractional coordinates:
Y 0.2477 0.0000 0.0000 x8  10 Hg 3.33-3.35, 2 Cd 3.35, 2 Y 3.45-3.51
Y 0.2500 0.2500 0.2500 x8  8 Hg 3.33, 4 Cd 3.34, 2 Y 3.48
Cd 0.0000 0.0000 0.3333 x8  3 Hg 2.82-2.83
Hg 0.0000 0.0000 0.1677 x8  1 Cd 2.83, 2 Hg 2.87
Hg 0.0000 0.2475 0.4159 x16  1 Cd 2.82, 2 Hg 2.87

## Properties
* ΔH_f (0 K): -400 meV/atom

DFT (PBE) results for a relaxed Be5VCo6 crystal.

Cell: 3.7431 5.3056 5.8888 Å, 90.00 108.61 90.00°
Closest atoms and distances in Å follow each position.
Space group P2/m (No. 10)
Inequivalent atoms, fractional coordinates:
Be 0.0000 0.0000 0.0000 x1  8 Co 2.26-2.30
Be 0.3340 0.5000 0.6676 x2  8 Co 2.27-2.32
Be 0.3364 0.0000 0.6717 x2  8 Co 2.23-2.28
V 0.0000 0.5000 0.0000 x1  8 Co 2.33-2.34
Co 0.1702 0.2439 0.3411 x4  7 Be 2.25-2.31, 1 V 2.34
Co 0.5000 0.2387 0.0000 x2  6 Be 2.23-2.32, 2 V 2.33

## Properties
* ΔH_f (0 K): -337 meV/atom

DFT (PBE) results for a relaxed PuU2Co2As2 crystal.

Cell: 4.2283 4.2283 24.6937 Å, 90.00 90.00 120.00°
Closest atoms and distances in Å follow each position.
Space group R-3m (No. 166, hexagonal axes)
Inequivalent atoms, fractional coordinates:
Pu 0.0000 0.0000 0.0000 x3  6 As 2.95
U 0.0000 0.0000 0.1430 x6  3 Co 2.61, 3 U 2.71
Co 0.0000 0.0000 0.4385 x6  3 U 2.61, 3 As 2.61
As 0.0000 0.0000 0.2661 x6  3 Co 2.61

## Properties
* ΔH_f (0 K): -465 meV/atom

DFT (PBE) results for a relaxed Ca3AgPt crystal.

Cell: 5.4972 5.4972 5.4972 Å, 90.00 90.00 90.00°
Closest atoms and distances in Å follow each position.
Space group Pm-3m (No. 221)
Inequivalent atoms, fractional coordinates:
Ca 0.0000 0.0000 0.5000 x3  2 Pt 2.75
Ag 0.5000 0.5000 0.5000 x1  12 Ca 3.89
Pt 0.0000 0.0000 0.0000 x1  6 Ca 2.75

## Properties
* energy above the most stable polymorph in this dataset: 166 meV/atom
* ΔH_f (0 K): -398 meV/atom

DFT (PBE) results for a relaxed ZrSiSb2Te crystal.

Cell: 5.1327 5.1327 5.1719 Å, 90.00 90.00 90.00°
Closest atoms and distances in Å follow each position.
Space group P4/mmm (No. 123)
Inequivalent atoms, fractional coordinates:
Zr 0.0000 0.0000 0.0000 x1  4 Te 3.63, 8 Sb 3.64
Si 0.5000 0.5000 0.5000 x1  4 Sb 2.57, 2 Te 2.59
Sb 0.0000 0.5000 0.5000 x2  2 Si 2.57
Te 0.5000 0.5000 0.0000 x1  2 Si 2.59

## Properties
* energy above the most stable polymorph in this dataset: 0 meV/atom
* formation energy from raw total energies: 555 meV/atom

DFT (PBE) results for a relaxed SrLaTl crystal.

Cell: 7.8737 7.8737 7.8737 Å, 90.00 90.00 90.00°
Closest atoms and distances in Å follow each position.
Space group F-43m (No. 216)
Inequivalent atoms, fractional coordinates:
Sr 0.0000 0.0000 0.0000 x4  4 Tl 3.41
La 0.0000 0.0000 0.5000 x4  4 Tl 3.41
Tl 0.2500 0.2500 0.7500 x4  4 La 3.41, 4 Sr 3.41

## Properties
* ΔH_f (0 K): -150 meV/atom

DFT (PBE) results for a relaxed Pa2Ni3As4 crystal.

Cell: 5.7789 13.7766 7.6637 Å, 90.00 90.00 90.00°
Closest atoms and distances in Å follow each position.
Space group Cmce (No. 64)
Inequivalent atoms, fractional coordinates:
Pa 0.0000 0.1210 0.0697 x8  8 As 2.89-3.05, 4 Ni 2.94-3.17
Ni 0.0000 0.0000 0.5000 x4  6 As 2.48-2.53
Ni 0.2500 0.2227 0.7500 x8  3 As 2.43-2.46
As 0.0000 0.1811 0.4429 x8  3 Ni 2.46-2.53
As 0.2500 0.0464 0.7500 x8  3 Ni 2.43-2.48

## Properties
* ΔH_f (0 K): -674 meV/atom

DFT (PBE) results for a relaxed BaFeRh crystal.

Cell: 4.1805 4.1805 4.9746 Å, 90.00 90.00 120.00°
Closest atoms and distances in Å follow each position.
Space group P-6m2 (No. 187)
Inequivalent atoms, fractional coordinates:
Ba 0.0000 0.0000 0.0000 x1  6 Fe 3.47, 6 Rh 3.47
Fe 0.3333 0.6667 0.5000 x1  3 Rh 2.41
Rh 0.6667 0.3333 0.5000 x1  3 Fe 2.41

## Properties
* energy above the most stable polymorph in this dataset: 0 meV/atom
* ΔH_f (0 K): 176 meV/atom

DFT (PBE) results for a relaxed CaPm2Hg crystal.

Cell: 4.9810 4.9810 4.8751 Å, 90.00 90.00 90.00°
Closest atoms and distances in Å follow each position.
Space group P4/mmm (No. 123)
Inequivalent atoms, fractional coordinates:
Ca 0.0000 0.0000 0.0000 x1  8 Pm 3.48, 4 Hg 3.52
Pm 0.0000 0.5000 0.5000 x2  4 Hg 3.48, 4 Ca 3.48, 4 Pm 3.52
Hg 0.5000 0.5000 0.0000 x1  8 Pm 3.48, 4 Ca 3.52

## Properties
* energy above the most stable polymorph in this dataset: 72 meV/atom
* ΔH_f (0 K): -134 meV/atom